1.
# Na3ZrCl PBE optimized geometry
data_Na3ZrCl
_cell_length_a 6.325
_cell_length_b 6.325
_cell_length_c 6.325
_cell_angle_alpha 90.00
_cell_angle_beta 90.00
_cell_angle_gamma 90.00
_space_group_name_H-M_alt 'P m -3 m'
_space_group_IT_number 221
_space_group_name_Hall '-P 4 2 3'
loop_
_atom_site_label
_atom_site_fract_x
_atom_site_fract_y
_atom_site_fract_z
Na1 0.000 0.000 0.500
Zr1 0.000 0.000 0.000
Cl1 0.500 0.500 0.500
# - E_form (uncorrected): 0.803 eV/atom
# - DOS at the Fermi energy: 21.43 states/eV per cell

2.
# NaZrCl6 PBE optimized geometry
data_NaZrCl6
_cell_length_a 10.610
_cell_length_b 10.610
_cell_length_c 10.610
_cell_angle_alpha 90.00
_cell_angle_beta 90.00
_cell_angle_gamma 90.00
_space_group_name_H-M_alt 'F m -3 m'
_space_group_IT_number 225
_space_group_name_Hall '-F 4 2 3'
loop_
_atom_site_label
_atom_site_fract_x
_atom_site_fract_y
_atom_site_fract_z
Na1 0.000 0.000 0.000
Zr1 0.000 0.000 0.500
Cl1 0.000 0.000 0.267
# - E_form (uncorrected): -1.436 eV/atom
# - DOS at the Fermi energy: 42.49 states/eV per cell